[1]
Density functional theory data (PBE) for a relaxed Ac3TbRu crystal.

abc: 5.7730 5.7730 5.7730
angles: 90.00 90.00 90.00
Element x y z (fractional)
Ru 0.0000 0.0000 0.0000
Ac 0.0000 0.0000 0.5000
Ac 0.0000 0.5000 0.0000
Ac 0.5000 0.0000 0.0000
Tb 0.5000 0.5000 0.5000

Values from the calculation:
Energy of formation from the pure elements ... 0.0098 eV per atom
Spin magnetization ... 0.00 μB/cell
Crystal system ... cubic
Fermi-level density of states ... 7.06 states/eV per cell
Volume ... 38.48 Å³ per atom



[2]
Density functional theory data (PBE) for a relaxed TbY2Er4 crystal.

abc: 6.0056 6.5732 11.6241
angles: 90.00 106.23 90.00
Element x y z (fractional)
Y 0.6088 0.7500 0.0083
Y 0.3912 0.2500 0.9917
Y 0.7165 0.7500 0.5555
Y 0.2835 0.2500 0.4445
Er 0.8534 0.2500 0.5770
Er 0.0122 0.2500 0.1594
Er 0.6391 0.4934 0.2907
Er 0.3609 0.9934 0.7093
Er 0.6391 0.0066 0.2907
Er 0.3609 0.5066 0.7093
Er 0.1466 0.7500 0.4230
Er 0.9878 0.7500 0.8406
Tb 0.1726 0.7500 0.1409
Tb 0.8274 0.2500 0.8591

Values from the calculation:
Energy above the most stable polymorph in this dataset ... 0.93 eV/f.u.
Energy of formation from the pure elements ... 0.1364 eV per atom
Spin magnetization ... 0.00 μB/cell
Crystal system ... monoclinic
Fermi-level density of states ... 24.78 states/eV per cell
Volume ... 31.47 Å³ per atom



[3]
Density functional theory data (PBE) for a relaxed Ac2TbPd6Pb3 crystal.

abc: 4.1202 4.1202 19.0505
angles: 90.00 90.00 90.00
Element x y z (fractional)
Pd 0.0000 0.0000 0.1545
Pd 0.5000 0.0000 0.3943
Pd 0.0000 0.0000 0.8455
Pd 0.0000 0.5000 0.6057
Pd 0.0000 0.5000 0.3943
Pd 0.5000 0.0000 0.6057
Ac 0.5000 0.5000 0.8846
Ac 0.5000 0.5000 0.1154
Tb 0.5000 0.5000 0.5000
Pb 0.0000 0.0000 0.7037
Pb 0.0000 0.0000 0.2963
Pb 0.0000 0.0000 0.0000

Values from the calculation:
Energy of formation from the pure elements ... -0.4366 eV per atom
Spin magnetization ... 0.00 μB/cell
Crystal system ... tetragonal
Fermi-level density of states ... 5.60 states/eV per cell
Volume ... 26.95 Å³ per atom



[4]
Density functional theory data (PBE) for a relaxed CsBaBr2O6 crystal.

abc: 7.6003 7.6003 8.1180
angles: 99.26 99.26 105.85
Last column: magnetic moment on the atom in μB.
Element x y z (fractional)
Cs 0.1953 0.8047 0.2500  0.00
Cs 0.8047 0.1953 0.7500  0.00
O 0.1867 0.1758 0.6624  0.03
O 0.0680 0.6057 0.7967  0.04
O 0.8133 0.8242 0.3376  0.03
O 0.4864 0.2813 0.9078  0.15
O 0.8242 0.8133 0.8376  0.03
O 0.5136 0.7187 0.0922  0.15
O 0.3943 0.9320 0.7033  0.04
O 0.9320 0.3943 0.2033  0.04
O 0.2813 0.4864 0.4078  0.15
O 0.6057 0.0680 0.2967  0.04
O 0.7187 0.5136 0.5922  0.15
O 0.1758 0.1867 0.1624  0.03
Br 0.7143 0.9293 0.1934  0.15
Br 0.2857 0.0707 0.8066  0.15
Br 0.9293 0.7143 0.6934  0.15
Br 0.0707 0.2857 0.3066  0.15
Ba 0.5716 0.4284 0.2500  0.01
Ba 0.4284 0.5716 0.7500  0.01

Values from the calculation:
Spin magnetization ... 2.08 μB/cell
Crystal system ... monoclinic
Uncorrected formation energy ... -736 meV per atom
Fermi-level density of states ... 1.45 states/eV per cell
Volume ... 21.74 Å³ per atom